# K2ICl7, relaxed, DFT PBE
data_K2ICl7
_cell_length_a 15.682
_cell_length_b 7.931
_cell_length_c 11.828
_cell_angle_alpha 90.00
_cell_angle_beta 120.29
_cell_angle_gamma 90.00
_symmetry_space_group_name_H-M 'C 1 2/c 1'
_symmetry_Int_Tables_number 15
loop_
_symmetry_equiv_pos_as_xyz
'x,y,z'
'-x,-y,-z'
'-x,y,-z+1/2'
'x,-y,z+1/2'
'x+1/2,y+1/2,z'
'-x+1/2,-y+1/2,-z'
'-x+1/2,y+1/2,-z+1/2'
'x+1/2,-y+1/2,z+1/2'
loop_
_atom_site_label
_atom_site_type_symbol
_atom_site_fract_x
_atom_site_fract_y
_atom_site_fract_z
K1 K 0.161 0.063 0.053
I1 I 0.000 0.333 0.250
Cl1 Cl 0.000 0.006 0.250
Cl2 Cl 0.042 0.297 0.484
Cl3 Cl 0.116 0.387 0.850
Cl4 Cl 0.180 0.245 0.308
# Formation energy (no corrections) = -0.79 eV per atom
# Crystal system = monoclinic
# Total energy = -0.181 Ry per atom